# CaMg14FeO16 | Alexandria | GGA+U | relaxed
# density of states at the Fermi level	0.00	states/eV per atom
# E	-6.022	eV/atom
# density	3.6	g cm⁻³
data_CaMg14FeO16
_chemical_formula_sum 'Ca1 Mg14 Fe1 O16'
_symmetry_space_group_name_H-M 'P 1'
_symmetry_Int_Tables_number 1
_symmetry_space_group_name_Hall 'P 1'
_cell_length_a 4.3372
_cell_length_b 8.5855
_cell_length_c 8.6267
_cell_angle_alpha 90.00
_cell_angle_beta 90.00
_cell_angle_gamma 90.00
loop_
_atom_site_label
_atom_site_type_symbol
_atom_site_fract_x
_atom_site_fract_y
_atom_site_fract_z
Ca1 Ca 0.0000 0.0000 0.0000
Mg1 Mg 0.0000 0.0000 0.5000
Mg2 Mg 0.0000 0.2534 0.2550
Mg3 Mg 0.0000 0.2534 0.7450
Mg4 Mg 0.0000 0.5000 0.5000
Mg5 Mg 0.0000 0.7466 0.2550
Mg6 Mg 0.0000 0.7466 0.7450
Mg7 Mg 0.5000 0.0000 0.2561
Mg8 Mg 0.5000 0.0000 0.7439
Mg9 Mg 0.5000 0.2512 0.5000
Mg10 Mg 0.5000 0.2556 0.0000
Mg11 Mg 0.5000 0.5000 0.2502
Mg12 Mg 0.5000 0.5000 0.7498
Mg13 Mg 0.5000 0.7444 0.0000
Mg14 Mg 0.5000 0.7488 0.5000
Fe1 Fe 0.0000 0.5000 0.0000
O1 O 0.0000 0.0000 0.2634
O2 O 0.0000 0.0000 0.7366
O3 O 0.0000 0.2512 0.5000
O4 O 0.0000 0.2617 0.0000
O5 O 0.0000 0.5000 0.2594
O6 O 0.0000 0.5000 0.7406
O7 O 0.0000 0.7383 0.0000
O8 O 0.0000 0.7488 0.5000
O9 O 0.5000 0.0000 0.0000
O10 O 0.5000 0.0000 0.5000
O11 O 0.5000 0.2500 0.2495
O12 O 0.5000 0.2500 0.7505
O13 O 0.5000 0.5000 0.0000
O14 O 0.5000 0.5000 0.5000
O15 O 0.5000 0.7500 0.2495
O16 O 0.5000 0.7500 0.7505